# BeCrCd2 (PBE, relaxed)
# - V (Å³ per atom) = 16.7
# - energy relative to the elements (meV per atom) = 462
# - VASP energy (eV per atom) = -3.333
data_BeCrCd2
_symmetry_space_group_name_H-M 'I -4 m 2'
_symmetry_Int_Tables_number 119
_symmetry_space_group_name_Hall 'I -4 -2'
_cell_length_a 4.5946
_cell_length_b 4.5946
_cell_length_c 6.3293
_cell_angle_alpha 90.00
_cell_angle_beta 90.00
_cell_angle_gamma 90.00
loop_
_atom_site_label
_atom_site_type_symbol
_atom_site_fract_x
_atom_site_fract_y
_atom_site_fract_z
Be1 Be 0.0000 0.0000 0.0000
Cr1 Cr 0.0000 0.5000 0.7500
Cd1 Cd 0.0000 0.0000 0.5000
Cd2 Cd 0.0000 0.5000 0.2500

***

# BeCrCd2 (PBE, relaxed)
# - V (Å³ per atom) = 17.2
# - energy relative to the elements (meV per atom) = 974
# - VASP energy (eV per atom) = -2.821
data_BeCrCd2
_symmetry_space_group_name_H-M 'I -4 2 d'
_symmetry_Int_Tables_number 122
_symmetry_space_group_name_Hall 'I -4 2bw'
_cell_length_a 3.8198
_cell_length_b 3.8198
_cell_length_c 18.8844
_cell_angle_alpha 90.00
_cell_angle_beta 90.00
_cell_angle_gamma 90.00
loop_
_atom_site_label
_atom_site_type_symbol
_atom_site_fract_x
_atom_site_fract_y
_atom_site_fract_z
Be1 Be 0.0000 0.0000 0.0000
Cr1 Cr 0.0000 0.0000 0.5000
Cd1 Cd 0.2460 0.2500 0.1250

***

# BeCrCd3 (PBE, relaxed)
# - V (Å³ per atom) = 29.3
# - energy relative to the elements (meV per atom) = 1141
# - offset from the most stable computed form (kJ/mol of formula units) = 268.0
# - VASP energy (eV per atom) = -2.078
data_BeCrCd3
_symmetry_space_group_name_H-M 'P m -3 m'
_symmetry_Int_Tables_number 221
_symmetry_space_group_name_Hall '-P 4 2 3'
_cell_length_a 5.2727
_cell_length_b 5.2727
_cell_length_c 5.2727
_cell_angle_alpha 90.00
_cell_angle_beta 90.00
_cell_angle_gamma 90.00
loop_
_atom_site_label
_atom_site_type_symbol
_atom_site_fract_x
_atom_site_fract_y
_atom_site_fract_z
Be1 Be 0.0000 0.0000 0.0000
Cr1 Cr 0.5000 0.5000 0.5000
Cd1 Cd 0.0000 0.5000 0.5000

***

# BeCrCd (PBE, relaxed)
# - V (Å³ per atom) = 14.0
# - energy relative to the elements (meV per atom) = 602
# - offset from the most stable computed form (kJ/mol of formula units) = 49.3
# - VASP energy (eV per atom) = -4.153
data_BeCrCd
_symmetry_space_group_name_H-M 'P 3 m 1'
_symmetry_Int_Tables_number 156
_symmetry_space_group_name_Hall 'P 3 -2"'
_cell_length_a 2.7089
_cell_length_b 2.7089
_cell_length_c 6.6056
_cell_angle_alpha 90.00
_cell_angle_beta 90.00
_cell_angle_gamma 120.00
loop_
_atom_site_label
_atom_site_type_symbol
_atom_site_fract_x
_atom_site_fract_y
_atom_site_fract_z
Be1 Be 0.0000 0.0000 0.0000
Cr1 Cr 0.3333 0.6667 0.7251
Cd1 Cd 0.6667 0.3333 0.3559

***

# BeCrCd2 (PBE, relaxed)
# - V (Å³ per atom) = 17.0
# - energy relative to the elements (meV per atom) = 485
# - VASP energy (eV per atom) = -3.310
data_BeCrCd2
_symmetry_space_group_name_H-M 'P 1 2/m 1'
_symmetry_Int_Tables_number 10
_symmetry_space_group_name_Hall '-P 2y'
_cell_length_a 3.0105
_cell_length_b 4.2362
_cell_length_c 5.5238
_cell_angle_alpha 90.00
_cell_angle_beta 105.17
_cell_angle_gamma 90.00
loop_
_atom_site_label
_atom_site_type_symbol
_atom_site_fract_x
_atom_site_fract_y
_atom_site_fract_z
Be1 Be 0.0000 0.0000 0.0000
Cr1 Cr 0.0000 0.0000 0.5000
Cd1 Cd 0.3725 0.5000 0.2359

***

# BeCrCd2 (PBE, relaxed)
# - V (Å³ per atom) = 16.8
# - energy relative to the elements (meV per atom) = 473
# - VASP energy (eV per atom) = -3.322
data_BeCrCd2
_symmetry_space_group_name_H-M 'I m m m'
_symmetry_Int_Tables_number 71
_symmetry_space_group_name_Hall '-I 2 2'
_cell_length_a 3.4194
_cell_length_b 4.4920
_cell_length_c 8.7345
_cell_angle_alpha 90.00
_cell_angle_beta 90.00
_cell_angle_gamma 90.00
loop_
_atom_site_label
_atom_site_type_symbol
_atom_site_fract_x
_atom_site_fract_y
_atom_site_fract_z
Be1 Be 0.0000 0.0000 0.0000
Cr1 Cr 0.0000 0.0000 0.5000
Cd1 Cd 0.0000 0.5000 0.2755

***

# BeCrCd2 (PBE, relaxed)
# - V (Å³ per atom) = 16.4
# - energy relative to the elements (meV per atom) = 338
# - VASP energy (eV per atom) = -3.457
data_BeCrCd2
_symmetry_space_group_name_H-M 'P m m 2'
_symmetry_Int_Tables_number 25
_symmetry_space_group_name_Hall 'P 2 -2'
_cell_length_a 2.9742
_cell_length_b 2.9971
_cell_length_c 7.3568
_cell_angle_alpha 90.00
_cell_angle_beta 90.00
_cell_angle_gamma 90.00
loop_
_atom_site_label
_atom_site_type_symbol
_atom_site_fract_x
_atom_site_fract_y
_atom_site_fract_z
Be1 Be 0.0000 0.0000 0.0000
Cr1 Cr 0.5000 0.5000 0.8342
Cd1 Cd 0.0000 0.0000 0.5611
Cd2 Cd 0.5000 0.5000 0.2354

***

# Be2CrCd (PBE, relaxed)
# - V (Å³ per atom) = 12.6
# - energy relative to the elements (meV per atom) = 380
# - VASP energy (eV per atom) = -4.118
data_Be2CrCd
_symmetry_space_group_name_H-M 'C m m m'
_symmetry_Int_Tables_number 65
_symmetry_space_group_name_Hall '-C 2 2'
_cell_length_a 3.2838
_cell_length_b 3.9756
_cell_length_c 7.7337
_cell_angle_alpha 90.00
_cell_angle_beta 90.00
_cell_angle_gamma 90.00
loop_
_atom_site_label
_atom_site_type_symbol
_atom_site_fract_x
_atom_site_fract_y
_atom_site_fract_z
Be1 Be 0.0000 0.0000 0.2128
Cr1 Cr 0.0000 0.5000 0.0000
Cd1 Cd 0.0000 0.5000 0.5000